Ho2ZnGe: relaxed, PBE.

a b c (Å): 4.091 5.790 5.790
angles (deg): 42.35 90.00 90.00
Atoms (fractional coordinates):
Ho (0.000, 0.000, 0.000)
Ho (0.500, 0.282, 0.282)
Zn (0.500, 0.566, 0.566)
Ge (0.000, 0.719, 0.719)

Computed properties:
The density of states at the Fermi level comes out at 0.9611 states/eV per atom. The space group is Amm2, No. 38. The calculated density is 8.41 g cm⁻³. As for the formation energy: -0.62 eV/atom. The calculation puts the uncorrected energy at -4.384 eV per atom.